# 1
Density functional theory data (PBE) for Ho5ErTm3 after structural relaxation.

Cell: 9.366 9.366 9.784 Å, 120.93 120.93 74.07°
Atoms (fractional coordinates):
Ho 0.100 0.603 0.252
Ho 0.223 0.223 0.235
Ho 0.241 0.759 0.000
Ho 0.279 0.279 0.963
Ho 0.397 0.900 0.748
Ho 0.603 0.100 0.252
Ho 0.721 0.721 0.037
Ho 0.759 0.241 0.000
Ho 0.777 0.777 0.765
Ho 0.900 0.397 0.748
Er 0.247 0.247 0.600
Er 0.753 0.753 0.400
Tm 0.000 0.000 0.500
Tm 0.011 0.011 0.819
Tm 0.479 0.479 0.638
Tm 0.500 0.500 0.000
Tm 0.521 0.521 0.362
Tm 0.989 0.989 0.181

Computed properties:
ΔE to the lowest computed polymorph in eV per formula unit: 0.00
Magnetization in μB per atom: 0.00
Energy relative to the elements in meV/atom: 528

---

# 2
Density functional theory data (PBE) for Ho3Er8Tm4 after structural relaxation.

Cell: 9.148 9.148 6.620 Å, 111.13 111.13 88.12°
Atoms (fractional coordinates):
Ho 0.000 0.000 0.000
Ho 0.000 0.500 0.000
Ho 0.500 0.000 0.000
Er 0.140 0.860 0.500
Er 0.233 0.233 0.966
Er 0.236 0.236 0.490
Er 0.249 0.751 0.000
Er 0.751 0.249 0.000
Er 0.764 0.764 0.510
Er 0.767 0.767 0.034
Er 0.860 0.140 0.500
Tm 0.000 0.500 0.500
Tm 0.500 0.000 0.500
Tm 0.500 0.500 0.000
Tm 0.500 0.500 0.500

Computed properties:
ΔE to the lowest computed polymorph in eV per formula unit: 3.93
Magnetization in μB per atom: 0.00
Energy relative to the elements in meV/atom: 418

---

# 3
Density functional theory data (PBE) for Ho4ErTm after structural relaxation.

Cell: 6.484 6.484 6.484 Å, 60.00 60.00 60.00°
Atoms (fractional coordinates):
Ho 0.125 0.125 0.125
Ho 0.125 0.125 0.625
Ho 0.125 0.625 0.125
Ho 0.625 0.125 0.125
Er 0.750 0.750 0.750
Tm 0.500 0.500 0.500

Computed properties:
ΔE to the lowest computed polymorph in eV per formula unit: 1.45
Magnetization in μB per atom: 0.00
Energy relative to the elements in meV/atom: 262

---

# 4
Density functional theory data (PBE) for Ho12Er6Tm after structural relaxation.

Cell: 9.240 9.240 9.240 Å, 107.99 107.99 107.99°
Atoms (fractional coordinates):
Ho 0.000 0.389 0.611
Ho 0.000 0.611 0.389
Ho 0.147 0.147 0.366
Ho 0.147 0.366 0.147
Ho 0.366 0.147 0.147
Ho 0.389 0.000 0.611
Ho 0.389 0.611 0.000
Ho 0.611 0.000 0.389
Ho 0.611 0.389 0.000
Ho 0.634 0.853 0.853
Ho 0.853 0.634 0.853
Ho 0.853 0.853 0.634
Er 0.182 0.182 0.768
Er 0.182 0.768 0.182
Er 0.232 0.818 0.818
Er 0.768 0.182 0.182
Er 0.818 0.232 0.818
Er 0.818 0.818 0.232
Tm 0.500 0.500 0.500

Computed properties:
ΔE to the lowest computed polymorph in eV per formula unit: 5.56
Magnetization in μB per atom: 0.00
Energy relative to the elements in meV/atom: 453

---

# 5
Density functional theory data (PBE) for HoErTm5 after structural relaxation.

Cell: 7.942 11.591 6.049 Å, 90.00 90.00 90.00°
Atoms (fractional coordinates):
Ho 0.000 0.000 0.000
Ho 0.500 0.500 0.500
Er 0.000 0.500 0.739
Er 0.500 0.000 0.239
Tm 0.000 0.257 0.002
Tm 0.000 0.500 0.260
Tm 0.000 0.743 0.002
Tm 0.179 0.000 0.500
Tm 0.321 0.500 0.000
Tm 0.500 0.000 0.760
Tm 0.500 0.243 0.502
Tm 0.500 0.757 0.502
Tm 0.679 0.500 0.000
Tm 0.821 0.000 0.500

Computed properties:
ΔE to the lowest computed polymorph in eV per formula unit: 5.74
Magnetization in μB per atom: 0.00
Energy relative to the elements in meV/atom: 1025

---

# 6
Density functional theory data (PBE) for Ho7Er3Tm after structural relaxation.

Cell: 8.315 8.315 5.723 Å, 110.07 110.07 83.26°
Atoms (fractional coordinates):
Ho 0.000 0.000 0.000
Ho 0.100 0.506 0.303
Ho 0.292 0.292 0.793
Ho 0.494 0.900 0.697
Ho 0.506 0.100 0.303
Ho 0.708 0.708 0.207
Ho 0.900 0.494 0.697
Er 0.293 0.707 0.000
Er 0.500 0.500 0.500
Er 0.707 0.293 0.000
Tm 0.000 0.000 0.500

Computed properties:
Magnetization in μB per atom: 0.04
Energy relative to the elements in meV/atom: 282

---

# 7
Density functional theory data (PBE) for HoEr6Tm12 after structural relaxation.

Cell: 8.530 8.530 8.530 Å, 98.51 98.51 98.51°
Atoms (fractional coordinates):
Ho 0.000 0.000 0.000
Er 0.102 0.102 0.659
Er 0.102 0.659 0.102
Er 0.341 0.898 0.898
Er 0.659 0.102 0.102
Er 0.898 0.341 0.898
Er 0.898 0.898 0.341
Tm 0.083 0.355 0.355
Tm 0.243 0.500 0.757
Tm 0.243 0.757 0.500
Tm 0.355 0.083 0.355
Tm 0.355 0.355 0.083
Tm 0.500 0.243 0.757
Tm 0.500 0.757 0.243
Tm 0.645 0.645 0.917
Tm 0.645 0.917 0.645
Tm 0.757 0.243 0.500
Tm 0.757 0.500 0.243
Tm 0.917 0.645 0.645

Computed properties:
ΔE to the lowest computed polymorph in eV per formula unit: 1.03
Magnetization in μB per atom: 0.00
Energy relative to the elements in meV/atom: 220

---

# 8
Density functional theory data (PBE) for Ho3Er2Tm5 after structural relaxation.

Cell: 9.347 9.347 9.344 Å, 108.46 108.46 111.50°
Atoms (fractional coordinates):
Ho 0.024 0.269 0.047
Ho 0.231 0.769 0.750
Ho 0.269 0.024 0.547
Ho 0.731 0.976 0.453
Ho 0.769 0.231 0.250
Ho 0.976 0.731 0.953
Er 0.228 0.469 0.452
Er 0.469 0.228 0.952
Er 0.531 0.772 0.048
Er 0.772 0.531 0.548
Tm 0.026 0.974 0.750
Tm 0.140 0.370 0.760
Tm 0.271 0.729 0.250
Tm 0.370 0.140 0.260
Tm 0.472 0.528 0.250
Tm 0.528 0.472 0.750
Tm 0.630 0.860 0.740
Tm 0.729 0.271 0.750
Tm 0.860 0.630 0.240
Tm 0.974 0.026 0.250

Computed properties:
ΔE to the lowest computed polymorph in eV per formula unit: 0.00
Magnetization in μB per atom: 0.00
Energy relative to the elements in meV/atom: 205

---

# 9
Density functional theory data (PBE) for Ho2Er4Tm after structural relaxation.

Cell: 6.065 6.451 11.357 Å, 90.00 105.02 90.00°
Atoms (fractional coordinates):
Ho 0.107 0.250 0.497
Ho 0.210 0.250 0.073
Ho 0.790 0.750 0.927
Ho 0.893 0.750 0.503
Er 0.153 0.003 0.788
Er 0.153 0.497 0.788
Er 0.355 0.750 0.057
Er 0.474 0.750 0.642
Er 0.526 0.250 0.358
Er 0.645 0.250 0.943
Er 0.847 0.503 0.212
Er 0.847 0.997 0.212
Tm 0.341 0.750 0.341
Tm 0.659 0.250 0.659

Computed properties:
Magnetization in μB per atom: 0.00
Energy relative to the elements in meV/atom: 145

---

# 10
Density functional theory data (PBE) for Ho6ErTm4 after structural relaxation.

Cell: 5.526 5.526 25.333 Å, 90.00 90.00 119.11°
Atoms (fractional coordinates):
Ho 0.000 0.000 0.000
Ho 0.000 0.000 0.500
Ho 0.016 0.984 0.750
Ho 0.318 0.682 0.104
Ho 0.318 0.682 0.396
Ho 0.350 0.650 0.682
Ho 0.350 0.650 0.818
Ho 0.650 0.350 0.182
Ho 0.650 0.350 0.318
Ho 0.682 0.318 0.604
Ho 0.682 0.318 0.896
Ho 0.984 0.016 0.250
Er 0.318 0.682 0.250
Er 0.682 0.318 0.750
Tm 0.019 0.981 0.622
Tm 0.019 0.981 0.878
Tm 0.339 0.661 0.543
Tm 0.339 0.661 0.957
Tm 0.661 0.339 0.043
Tm 0.661 0.339 0.457
Tm 0.981 0.019 0.122
Tm 0.981 0.019 0.378

Computed properties:
ΔE to the lowest computed polymorph in eV per formula unit: 0.00
Magnetization in μB per atom: 0.00
Energy relative to the elements in meV/atom: 131

---

# 11
Density functional theory data (PBE) for HoEr8Tm6 after structural relaxation.

Cell: 9.245 9.245 6.422 Å, 90.00 90.00 120.00°
Atoms (fractional coordinates):
Ho 0.000 0.000 0.000
Er 0.024 0.337 0.402
Er 0.312 0.976 0.402
Er 0.333 0.667 0.671
Er 0.337 0.312 0.598
Er 0.663 0.688 0.402
Er 0.667 0.333 0.329
Er 0.688 0.024 0.598
Er 0.976 0.663 0.598
Tm 0.094 0.680 0.092
Tm 0.320 0.414 0.092
Tm 0.414 0.094 0.908
Tm 0.586 0.906 0.092
Tm 0.680 0.586 0.908
Tm 0.906 0.320 0.908

Computed properties:
ΔE to the lowest computed polymorph in eV per formula unit: 1.69
Magnetization in μB per atom: 0.00
Energy relative to the elements in meV/atom: 247

---

# 12
Density functional theory data (PBE) for Ho3Er2Tm8 after structural relaxation.

Cell: 11.761 11.761 5.504 Å, 103.46 103.46 33.22°
Atoms (fractional coordinates):
Ho 0.000 0.000 0.000
Ho 0.265 0.735 0.500
Ho 0.735 0.265 0.500
Er 0.278 0.278 0.778
Er 0.722 0.722 0.222
Tm 0.109 0.585 0.346
Tm 0.186 0.186 0.187
Tm 0.415 0.891 0.654
Tm 0.425 0.425 0.925
Tm 0.575 0.575 0.075
Tm 0.585 0.109 0.346
Tm 0.814 0.814 0.813
Tm 0.891 0.415 0.654

Computed properties:
ΔE to the lowest computed polymorph in eV per formula unit: 0.00
Magnetization in μB per atom: 0.00
Energy relative to the elements in meV/atom: 164

---

# 13
Density functional theory data (PBE) for Ho3Er4Tm3 after structural relaxation.

Cell: 3.643 9.179 9.179 Å, 89.98 90.00 90.00°
Atoms (fractional coordinates):
Ho 0.000 0.000 0.000
Ho 0.000 0.500 0.844
Ho 0.000 0.844 0.500
Er 0.500 0.046 0.299
Er 0.500 0.299 0.046
Er 0.500 0.545 0.545
Er 0.500 0.798 0.798
Tm 0.000 0.344 0.344
Tm 0.500 0.172 0.670
Tm 0.500 0.670 0.172

Computed properties:
Magnetization in μB per atom: 0.00
Energy relative to the elements in meV/atom: 98

---

# 14
Density functional theory data (PBE) for Ho5Er2Tm3 after structural relaxation.

Cell: 10.944 10.944 10.944 Å, 109.63 79.81 147.24°
Atoms (fractional coordinates):
Ho 0.157 0.100 0.257
Ho 0.250 0.250 0.000
Ho 0.250 0.501 0.251
Ho 0.250 0.999 0.749
Ho 0.343 0.600 0.943
Ho 0.657 0.400 0.057
Ho 0.750 0.001 0.251
Ho 0.750 0.499 0.749
Ho 0.750 0.750 0.000
Ho 0.843 0.900 0.743
Er 0.157 0.598 0.755
Er 0.343 0.098 0.441
Er 0.657 0.902 0.559
Er 0.843 0.402 0.245
Tm 0.249 0.840 0.089
Tm 0.250 0.750 0.500
Tm 0.251 0.340 0.591
Tm 0.749 0.660 0.409
Tm 0.750 0.250 0.500
Tm 0.751 0.160 0.911

Computed properties:
ΔE to the lowest computed polymorph in eV per formula unit: 1.59
Magnetization in μB per atom: 0.00
Energy relative to the elements in meV/atom: 364

---

# 15
Density functional theory data (PBE) for Ho4ErTm6 after structural relaxation.

Cell: 5.525 5.525 25.310 Å, 90.00 90.00 119.70°
Atoms (fractional coordinates):
Ho 0.005 0.995 0.622
Ho 0.005 0.995 0.878
Ho 0.335 0.665 0.542
Ho 0.335 0.665 0.958
Ho 0.665 0.335 0.042
Ho 0.665 0.335 0.458
Ho 0.995 0.005 0.122
Ho 0.995 0.005 0.378
Er 0.330 0.670 0.250
Er 0.670 0.330 0.750
Tm 0.000 0.000 0.000
Tm 0.000 0.000 0.500
Tm 0.004 0.996 0.750
Tm 0.329 0.671 0.104
Tm 0.329 0.671 0.396
Tm 0.337 0.663 0.682
Tm 0.337 0.663 0.818
Tm 0.663 0.337 0.182
Tm 0.663 0.337 0.318
Tm 0.671 0.329 0.604
Tm 0.671 0.329 0.896
Tm 0.996 0.004 0.250

Computed properties:
ΔE to the lowest computed polymorph in eV per formula unit: 0.00
Magnetization in μB per atom: 0.00
Energy relative to the elements in meV/atom: 131

---

# 16
Density functional theory data (PBE) for Ho6Er2Tm3 after structural relaxation.

Cell: 16.707 16.707 16.707 Å, 163.96 163.96 22.76°
Atoms (fractional coordinates):
Ho 0.121 0.621 0.500
Ho 0.197 0.197 0.000
Ho 0.379 0.879 0.500
Ho 0.621 0.121 0.500
Ho 0.803 0.803 0.000
Ho 0.879 0.379 0.500
Er 0.046 0.046 0.000
Er 0.954 0.954 0.000
Tm 0.300 0.300 0.000
Tm 0.500 0.500 0.000
Tm 0.700 0.700 0.000

Computed properties:
Magnetization in μB per atom: 0.00
Energy relative to the elements in meV/atom: 300

---

# 17
Density functional theory data (PBE) for Ho2Er12Tm5 after structural relaxation.

Cell: 8.999 8.999 8.378 Å, 90.78 90.78 60.46°
Atoms (fractional coordinates):
Ho 0.179 0.821 0.000
Ho 0.821 0.179 0.000
Er 0.058 0.058 0.334
Er 0.067 0.680 0.340
Er 0.162 0.526 0.756
Er 0.320 0.933 0.660
Er 0.407 0.407 0.115
Er 0.474 0.838 0.244
Er 0.526 0.162 0.756
Er 0.593 0.593 0.885
Er 0.680 0.067 0.340
Er 0.838 0.474 0.244
Er 0.933 0.320 0.660
Er 0.942 0.942 0.666
Tm 0.197 0.197 0.009
Tm 0.267 0.267 0.425
Tm 0.500 0.500 0.500
Tm 0.733 0.733 0.575
Tm 0.803 0.803 0.991

Computed properties:
ΔE to the lowest computed polymorph in eV per formula unit: 1.24
Magnetization in μB per atom: 0.00
Energy relative to the elements in meV/atom: 130

---

# 18
Density functional theory data (PBE) for HoEr2Tm5 after structural relaxation.

Cell: 6.343 9.389 9.640 Å, 107.16 102.69 107.57°
Atoms (fractional coordinates):
Ho 0.222 0.434 0.487
Ho 0.778 0.566 0.513
Er 0.231 0.931 0.803
Er 0.369 0.269 0.160
Er 0.631 0.731 0.840
Er 0.769 0.069 0.197
Tm 0.002 0.847 0.403
Tm 0.039 0.514 0.825
Tm 0.164 0.865 0.119
Tm 0.492 0.351 0.850
Tm 0.497 0.820 0.514
Tm 0.503 0.180 0.486
Tm 0.508 0.649 0.150
Tm 0.836 0.135 0.881
Tm 0.961 0.486 0.175
Tm 0.998 0.153 0.597

Computed properties:
ΔE to the lowest computed polymorph in eV per formula unit: 0.85
Magnetization in μB per atom: 0.00
Energy relative to the elements in meV/atom: 132